Computed, not measured: Ce3Ga9Cu2 after structural relaxation at the GGA-PBE level of DFT.

abc: 4.285 8.270 8.270
angles: 74.04 74.98 74.98
Fractional positions:
Ce: 0.683 0.317 0.317
Ga: 0.663 0.707 0.968
Ga: 0.000 0.500 0.500
Ga: 0.337 0.293 0.032
Ga: 0.869 0.408 0.854
Ga: 0.869 0.854 0.408
Ce: 0.000 0.000 0.000
Cu: 0.500 0.720 0.280
Ga: 0.131 0.146 0.592
Ce: 0.317 0.683 0.683
Ga: 0.663 0.968 0.707
Cu: 0.500 0.280 0.720
Ga: 0.131 0.592 0.146
Ga: 0.337 0.032 0.293

Values from the calculation:
* formation energy: -43.8 kJ per mole of atoms
* VASP energy: -4.256 eV per atom
* magnetization: 2.0 μB/cell


Computed, not measured: AlSbP2 after structural relaxation at the GGA-PBE level of DFT.

abc: 3.374 3.374 7.418
angles: 90.00 90.00 112.98
Fractional positions:
Sb: 0.500 0.500 0.250
P: 0.000 0.000 0.960
Al: 0.500 0.500 0.750
P: 0.000 0.000 0.540

Values from the calculation:
* formation energy from raw total energies: 0.299 eV/atom
* VASP energy: -4.372 eV per atom
* energy above the most stable polymorph in this dataset: 369 meV/atom
* magnetization: 0.0 μB/cell


Computed, not measured: KBaSrTl after structural relaxation at the GGA-PBE level of DFT.

abc: 6.260 6.260 6.260
angles: 60.00 60.00 60.00
Fractional positions:
K: 0.500 0.500 0.500
Ba: 0.250 0.250 0.250
Tl: 0.000 0.000 0.000
Sr: 0.750 0.750 0.750

Values from the calculation:
* formation energy: -9.6 kJ per mole of atoms
* VASP energy: -1.867 eV per atom
* magnetization: 0.0 μB/cell


Computed, not measured: RbNdC2O6 after structural relaxation at the GGA-PBE level of DFT.

abc: 6.637 6.637 7.368
angles: 104.19 104.19 95.66
Fractional positions:
O: 0.262 0.212 0.623
O: 0.703 0.472 0.606
O: 0.047 0.600 0.767
O: 0.738 0.788 0.377
O: 0.212 0.262 0.123
O: 0.600 0.047 0.267
C: 0.148 0.394 0.249
O: 0.297 0.528 0.394
Nd: 0.403 0.597 0.750
O: 0.528 0.297 0.894
O: 0.788 0.738 0.877
Rb: 0.882 0.118 0.750
C: 0.852 0.606 0.751
C: 0.606 0.852 0.251
O: 0.953 0.400 0.233
Rb: 0.118 0.882 0.250
O: 0.400 0.953 0.733
O: 0.472 0.703 0.106
C: 0.394 0.148 0.749
Nd: 0.597 0.403 0.250

Values from the calculation:
* formation energy from raw total energies: -2.129 eV/atom
* VASP energy: -7.523 eV per atom
* magnetization: 0.0 μB/cell


Computed, not measured: SrCaIn2 after structural relaxation at the GGA-PBE level of DFT.

abc: 10.658 10.658 10.658
angles: 20.88 20.88 20.88
Fractional positions:
Sr: 0.250 0.250 0.250
In: 0.497 0.497 0.497
Ca: 0.750 0.750 0.750
In: 0.003 0.003 0.003

Values from the calculation:
* formation energy: -24.9 kJ per mole of atoms
* VASP energy: -2.548 eV per atom
* energy above the most stable polymorph in this dataset: 194 meV/atom
* magnetization: 0.0 μB/cell


Computed, not measured: NdH6Pd7 after structural relaxation at the GGA-PBE level of DFT.

abc: 5.106 5.106 7.949
angles: 71.27 71.27 60.00
Fractional positions:
H: 0.093 0.415 0.756
Pd: 0.665 0.665 0.006
H: 0.736 0.093 0.756
H: 0.576 0.247 0.258
Pd: 0.778 0.449 0.669
H: 0.919 0.576 0.258
Pd: 0.449 0.104 0.669
Pd: 0.883 0.224 0.344
Pd: 0.104 0.778 0.669
Nd: 0.998 0.998 0.006
Pd: 0.224 0.549 0.344
H: 0.247 0.919 0.258
H: 0.415 0.736 0.756
Pd: 0.549 0.883 0.344

Values from the calculation:
* VASP energy: -4.618 eV per atom
* magnetization: 0.0 μB/cell


Computed, not measured: Tb2YScAs4 after structural relaxation at the GGA-PBE level of DFT.

abc: 4.079 7.053 7.056
angles: 70.51 90.00 90.00
Fractional positions:
Y: 0.500 0.500 0.000
As: 0.500 0.261 0.740
As: 0.000 0.744 0.745
Sc: 0.000 0.500 0.500
Tb: 0.000 0.000 0.000
Tb: 0.500 0.000 0.500
As: 0.500 0.739 0.260
As: 0.000 0.256 0.255

Values from the calculation:
* formation energy: -143.4 kJ per mole of atoms
* VASP energy: -6.568 eV per atom
* magnetization: 0.0 μB/cell


Computed, not measured: RbZrCuO4 after structural relaxation at the GGA-PBE level of DFT.

abc: 5.618 5.723 8.184
angles: 90.00 119.23 90.00
Fractional positions:
Cu: 0.793 0.250 0.682
O: 0.965 0.518 0.330
O: 0.035 0.018 0.670
O: 0.477 0.250 0.437
O: 0.035 0.482 0.670
Rb: 0.409 0.250 0.086
O: 0.436 0.750 0.217
Zr: 0.810 0.750 0.473
O: 0.523 0.750 0.563
Cu: 0.207 0.750 0.318
Zr: 0.190 0.250 0.527
Rb: 0.591 0.750 0.914
O: 0.564 0.250 0.783
O: 0.965 0.982 0.330

Values from the calculation:
* formation energy from raw total energies: -1.780 eV/atom
* VASP energy: -6.558 eV per atom
* magnetization: 4.1 μB/cell